# 1
! Cs9KNa4 | Alexandria via LeMat-Bulk | PBE | optimized geometry; values from VASP
! E_form	0.069	eV/atom
! uncorrected energy	-26.2	eV per cell
! total magnetic moment	0.00	μB/f.u.
&SYSTEM
  ibrav = 0, nat = 28, ntyp = 3
/
ATOMIC_SPECIES
Cs 132.91 Cs.upf
Na 22.99 Na.upf
K 39.10 K.upf
CELL_PARAMETERS angstrom
-8.513 -13.225 -2.604
11.719 -5.739 -9.160
2.633 5.155 14.012
ATOMIC_POSITIONS crystal
Cs 0.805 0.061 0.000
Cs 0.061 0.195 0.000
Cs 0.695 0.561 0.000
Cs 0.556 0.056 0.404
Cs 0.652 0.444 0.596
Cs 0.561 0.305 0.000
Cs 0.444 0.944 0.596
Cs 0.000 0.500 0.000
Cs 0.348 0.556 0.404
Cs 0.439 0.695 0.000
Cs 0.500 0.000 0.000
Cs 0.305 0.439 0.000
Cs 0.056 0.848 0.404
Cs 0.944 0.152 0.596
Cs 0.195 0.939 0.000
Cs 0.848 0.348 0.404
Cs 0.939 0.805 0.000
Cs 0.152 0.652 0.596
Na 0.735 0.235 0.821
Na 0.265 0.765 0.179
Na 0.086 0.586 0.821
Na 0.765 0.914 0.179
Na 0.235 0.086 0.821
Na 0.414 0.265 0.179
Na 0.586 0.735 0.821
Na 0.914 0.414 0.179
K 0.750 0.750 0.500
K 0.250 0.250 0.500

# 2
! CsKNa5 | Alexandria via LeMat-Bulk | PBE | optimized geometry; values from VASP
! E_form	0.065	eV/atom
! excess energy over the best structure of this formula in the dataset	0.053	eV per atom
! uncorrected energy	-8.1	eV per cell
! total magnetic moment	0.00	μB/f.u.
&SYSTEM
  ibrav = 0, nat = 7, ntyp = 3
/
ATOMIC_SPECIES
Na 22.99 Na.upf
K 39.10 K.upf
Cs 132.91 Cs.upf
CELL_PARAMETERS angstrom
5.314 0.000 0.000
0.000 5.314 0.000
0.000 0.000 13.380
ATOMIC_POSITIONS crystal
Na 0.500 0.000 0.774
Na 0.500 0.000 0.226
Na 0.000 0.500 0.226
Na 0.000 0.500 0.774
Na 0.000 0.000 0.000
K 0.500 0.500 0.000
Cs 0.000 0.000 0.500

# 3
! CsK6Na | Alexandria via LeMat-Bulk | PBE | optimized geometry; values from VASP
! E_form	0.030	eV/atom
! excess energy over the best structure of this formula in the dataset	0.016	eV per atom
! uncorrected energy	-8.5	eV per cell
! total magnetic moment	0.00	μB/f.u.
&SYSTEM
  ibrav = 0, nat = 8, ntyp = 3
/
ATOMIC_SPECIES
Na 22.99 Na.upf
Cs 132.91 Cs.upf
K 39.10 K.upf
CELL_PARAMETERS angstrom
-2.944 2.983 8.116
-0.585 -9.077 -0.843
8.992 2.735 -1.314
ATOMIC_POSITIONS crystal
Na 0.500 0.500 0.500
Cs 0.000 0.000 0.000
K 0.251 0.724 0.259
K 0.739 0.739 0.276
K 0.261 0.261 0.724
K 0.276 0.749 0.741
K 0.749 0.276 0.741
K 0.724 0.251 0.259

# 4
! Cs2K4Na3 | Alexandria via LeMat-Bulk | PBE | optimized geometry; values from VASP
! E_form	0.031	eV/atom
! uncorrected energy	-19.6	eV per cell
! total magnetic moment	0.00	μB/f.u.
&SYSTEM
  ibrav = 0, nat = 18, ntyp = 3
/
ATOMIC_SPECIES
K 39.10 K.upf
Cs 132.91 Cs.upf
Na 22.99 Na.upf
CELL_PARAMETERS angstrom
0.404 8.254 0.901
-10.197 1.320 -7.506
-7.175 -4.807 8.902
ATOMIC_POSITIONS crystal
K 0.324 0.250 0.148
K 0.189 0.991 0.378
K 0.311 0.491 0.622
K 0.176 0.750 0.852
K 0.676 0.750 0.852
K 0.689 0.509 0.378
K 0.824 0.250 0.148
K 0.811 0.009 0.622
Cs 0.101 0.610 0.203
Cs 0.899 0.390 0.797
Cs 0.601 0.890 0.203
Cs 0.399 0.110 0.797
Na 0.009 0.750 0.519
Na 0.500 0.500 0.000
Na 0.991 0.250 0.481
Na 0.491 0.250 0.481
Na 0.000 0.000 0.000
Na 0.509 0.750 0.519

# 5
! Cs2K6NaO | Alexandria via LeMat-Bulk | PBE | optimized geometry; values from VASP
! E_form (uncorrected)	-270.2	kJ/mol of formula units
! uncorrected energy	-17.4	eV per cell
! total magnetic moment	0.00	μB/f.u.
&SYSTEM
  ibrav = 0, nat = 10, ntyp = 4
/
ATOMIC_SPECIES
Na 22.99 Na.upf
Cs 132.91 Cs.upf
K 39.10 K.upf
O 16.00 O.upf
CELL_PARAMETERS angstrom
-1.569 8.491 0.125
-6.711 -1.050 -5.331
-1.445 -4.874 9.880
ATOMIC_POSITIONS crystal
Na 0.408 0.409 0.817
Cs 0.800 0.301 0.600
Cs 0.301 0.801 0.600
K 0.670 0.671 0.341
K 0.185 0.185 0.369
K 0.817 0.817 0.047
K 0.813 0.227 0.040
K 0.227 0.813 0.040
K 0.229 0.230 0.046
O 0.049 0.050 0.099

# 6
! Cs4K2Na2O | Alexandria via LeMat-Bulk | PBE | optimized geometry; values from VASP
! E_form (uncorrected)	-286.5	kJ/mol of formula units
! uncorrected energy	-16.2	eV per cell
! total magnetic moment	0.00	μB/f.u.
&SYSTEM
  ibrav = 0, nat = 9, ntyp = 4
/
ATOMIC_SPECIES
Na 22.99 Na.upf
K 39.10 K.upf
O 16.00 O.upf
Cs 132.91 Cs.upf
CELL_PARAMETERS angstrom
7.877 -0.384 -0.261
1.284 8.899 0.641
1.284 3.864 8.042
ATOMIC_POSITIONS crystal
Na 0.830 0.328 0.328
Na 0.170 0.672 0.672
K 0.740 0.866 0.866
K 0.260 0.134 0.134
O 0.500 0.000 0.000
Cs 0.314 0.682 0.149
Cs 0.686 0.851 0.318
Cs 0.686 0.318 0.851
Cs 0.314 0.149 0.682

Repeat the second record exactly.
! CsKNa5 | Alexandria via LeMat-Bulk | PBE | optimized geometry; values from VASP
! E_form	0.065	eV/atom
! excess energy over the best structure of this formula in the dataset	0.053	eV per atom
! uncorrected energy	-8.1	eV per cell
! total magnetic moment	0.00	μB/f.u.
&SYSTEM
  ibrav = 0, nat = 7, ntyp = 3
/
ATOMIC_SPECIES
Na 22.99 Na.upf
K 39.10 K.upf
Cs 132.91 Cs.upf
CELL_PARAMETERS angstrom
5.314 0.000 0.000
0.000 5.314 0.000
0.000 0.000 13.380
ATOMIC_POSITIONS crystal
Na 0.500 0.000 0.774
Na 0.500 0.000 0.226
Na 0.000 0.500 0.226
Na 0.000 0.500 0.774
Na 0.000 0.000 0.000
K 0.500 0.500 0.000
Cs 0.000 0.000 0.500